# 1
This record from the Alexandria database describes La3As4Pd2 after structural relaxation. The functional is PBE-GGA.

Lattice parameters (Å, degrees): 4.5482 5.9985 8.4657 101.23 90.00 112.28
Element x y z (fractional)
As1 0.9342 0.8685 0.6152
As2 0.2801 0.5601 0.9479
As3 0.7199 0.4399 0.0521
As4 0.0658 0.1315 0.3848
La1 0.0000 0.0000 0.0000
La2 0.6616 0.3232 0.6705
La3 0.3384 0.6768 0.3295
Pd1 0.3880 0.7759 0.7178
Pd2 0.6120 0.2241 0.2822

Excess energy over the best structure of this formula in the dataset, meV/atom: 0
Energy of formation, meV/atom: -1119



# 2
This record from the Alexandria database describes BaSn2Se4 after structural relaxation. The functional is PBE-GGA.

Lattice parameters (Å, degrees): 7.0152 9.2801 15.8173 90.00 90.00 90.00
Element x y z (fractional)
Sn1 0.0000 0.5000 0.0000
Sn2 0.0983 0.2500 0.5805
Sn3 0.0000 0.0000 0.0000
Sn4 0.5000 0.5000 0.5000
Sn5 0.5000 0.0000 0.5000
Sn6 0.9017 0.7500 0.4195
Sn7 0.5983 0.7500 0.9195
Sn8 0.4017 0.2500 0.0805
Se1 0.7478 0.9657 0.3432
Se2 0.2599 0.2500 0.4340
Se3 0.7522 0.5343 0.8432
Se4 0.7522 0.9657 0.8432
Se5 0.7649 0.2500 0.0791
Se6 0.2351 0.7500 0.9209
Se7 0.7599 0.7500 0.0660
Se8 0.2522 0.4657 0.6568
Se9 0.7478 0.5343 0.3432
Se10 0.2649 0.7500 0.4209
Se11 0.7401 0.7500 0.5660
Se12 0.7351 0.2500 0.5791
Se13 0.2478 0.0343 0.1568
Se14 0.2401 0.2500 0.9340
Se15 0.2478 0.4657 0.1568
Se16 0.2522 0.0343 0.6568
Ba1 0.9728 0.2500 0.2703
Ba2 0.0272 0.7500 0.7297
Ba3 0.5272 0.2500 0.7703
Ba4 0.4728 0.7500 0.2297

E_form (uncorrected), meV per atom: -859



# 3
This record from the Alexandria database describes Pr5Ni2Sn after structural relaxation. The functional is PBE-GGA.

Lattice parameters (Å, degrees): 8.0265 8.0265 8.9077 116.78 116.78 90.00
Element x y z (fractional)
Ni1 0.8754 0.6246 0.0000
Ni2 0.6246 0.1246 0.0000
Ni3 0.3754 0.8754 0.0000
Ni4 0.1246 0.3754 0.0000
Pr1 0.7963 0.9790 0.2752
Pr2 0.2037 0.0210 0.7248
Pr3 0.5000 0.5000 0.0000
Pr4 0.9790 0.4790 0.2752
Pr5 0.5210 0.7037 0.7248
Pr6 0.7037 0.2037 0.7248
Pr7 0.4790 0.2963 0.2752
Pr8 0.2963 0.7963 0.2752
Pr9 0.0210 0.5210 0.7248
Pr10 0.0000 0.0000 0.0000
Sn1 0.7500 0.7500 0.5000
Sn2 0.2500 0.2500 0.5000

Energy of formation, meV/atom: -355



# 4
This record from the Alexandria database describes YZn3Pd3 after structural relaxation. The functional is PBE-GGA.

Lattice parameters (Å, degrees): 8.3228 8.3229 8.3223 60.00 60.00 60.00
Element x y z (fractional)
Zn1 0.8505 0.1495 0.1495
Zn2 0.8505 0.1495 0.8505
Zn3 0.1495 0.8505 0.8505
Zn4 0.1495 0.1495 0.8505
Zn5 0.1495 0.8505 0.1495
Zn6 0.8505 0.8505 0.1495
Pd1 0.3418 0.6582 0.6582
Pd2 0.6582 0.6582 0.3418
Pd3 0.3418 0.6582 0.3418
Pd4 0.6582 0.3418 0.3418
Pd5 0.6582 0.3418 0.6582
Pd6 0.3418 0.3418 0.6582
Y1 0.7500 0.7500 0.7500
Y2 0.2500 0.2500 0.2500

Excess energy over the best structure of this formula in the dataset, meV/atom: 1244
Energy of formation, meV/atom: 715



no.,volume (Å³/cell)
1,209
2,1030
3,442
4,408